# 1
# KAlSn2F8 (PBE-GGA, relaxed)
# **SG**: No. 2
# **E_form (uncorrected)**: -2.7957 eV/atom
data_KAlSn2F8
_space_group_name_H-M_alt 'P 1'
_space_group_IT_number 1
_cell_length_a 5.4569
_cell_length_b 5.2510
_cell_length_c 7.2601
_cell_angle_alpha 90.50
_cell_angle_beta 93.07
_cell_angle_gamma 85.14
loop_
_space_group_symop_operation_xyz
'x,y,z'
loop_
_atom_site_label
_atom_site_type_symbol
_atom_site_fract_x
_atom_site_fract_y
_atom_site_fract_z
_atom_site_occupancy
F1 F 0.2362 0.2041 0.0908 1
F2 F 0.3424 0.3213 0.4648 1
F3 F 0.2131 0.8596 0.8321 1
F4 F 0.7869 0.1404 0.1679 1
F5 F 0.7638 0.7959 0.9092 1
F6 F 0.8917 0.2424 0.8228 1
F7 F 0.1083 0.7576 0.1772 1
F8 F 0.6576 0.6787 0.5352 1
K1 K 0.0000 0.0000 0.5000 1
Sn1 Sn 0.5317 0.5171 0.7736 1
Sn2 Sn 0.4683 0.4829 0.2264 1
Al1 Al 0.0000 0.0000 0.0000 1

# 2
# KSrAlF2 (PBE-GGA, relaxed)
# **SG**: No. 123
# **E_form (uncorrected)**: -1.2173 eV/atom
data_KSrAlF2
_space_group_name_H-M_alt 'P 1'
_space_group_IT_number 1
_cell_length_a 4.8857
_cell_length_b 5.7727
_cell_length_c 4.8857
_cell_angle_alpha 90.00
_cell_angle_beta 90.00
_cell_angle_gamma 90.00
loop_
_space_group_symop_operation_xyz
'x,y,z'
loop_
_atom_site_label
_atom_site_type_symbol
_atom_site_fract_x
_atom_site_fract_y
_atom_site_fract_z
_atom_site_occupancy
F1 F 0.0000 0.0000 0.5000 1
F2 F 0.5000 0.0000 0.0000 1
Sr1 Sr 0.5000 0.5000 0.5000 1
K1 K 0.0000 0.0000 0.0000 1
Al1 Al 0.0000 0.5000 0.0000 1

# 3
# KSrAl2F8 (PBE-GGA, relaxed)
# **SG**: No. 148
# **E_form (uncorrected)**: -3.2534 eV/atom
data_KSrAl2F8
_space_group_name_H-M_alt 'P 1'
_space_group_IT_number 1
_cell_length_a 5.4988
_cell_length_b 5.4988
_cell_length_c 9.5469
_cell_angle_alpha 73.26
_cell_angle_beta 73.26
_cell_angle_gamma 60.00
loop_
_space_group_symop_operation_xyz
'x,y,z'
loop_
_atom_site_label
_atom_site_type_symbol
_atom_site_fract_x
_atom_site_fract_y
_atom_site_fract_z
_atom_site_occupancy
F1 F 0.7432 0.0100 0.8216 1
F2 F 0.2568 0.9900 0.1784 1
F3 F 0.9900 0.5748 0.1784 1
F4 F 0.0100 0.4252 0.8216 1
F5 F 0.1879 0.1879 0.4363 1
F6 F 0.8121 0.8121 0.5637 1
F7 F 0.5748 0.2568 0.1784 1
F8 F 0.4252 0.7432 0.8216 1
K1 K 0.5000 0.5000 0.5000 1
Sr1 Sr 0.0000 0.0000 0.0000 1
Al1 Al 0.2508 0.2508 0.2477 1
Al2 Al 0.7492 0.7492 0.7523 1

# 4
# KSrAlF6 (PBE-GGA, relaxed)
# **SG**: No. 74
# **E_form (uncorrected)**: -3.5422 eV/atom
data_KSrAlF6
_space_group_name_H-M_alt 'P 1'
_space_group_IT_number 1
_cell_length_a 7.9867
_cell_length_b 7.3292
_cell_length_c 7.3123
_cell_angle_alpha 120.08
_cell_angle_beta 123.10
_cell_angle_gamma 90.00
loop_
_space_group_symop_operation_xyz
'x,y,z'
loop_
_atom_site_label
_atom_site_type_symbol
_atom_site_fract_x
_atom_site_fract_y
_atom_site_fract_z
_atom_site_occupancy
F1 F 0.4686 0.1627 0.2549 1
F2 F 0.4483 0.1983 0.8966 1
F3 F 0.2137 0.4078 0.7451 1
F4 F 0.1171 0.8671 0.2342 1
F5 F 0.5314 0.8373 0.7451 1
F6 F 0.8829 0.1329 0.7658 1
F7 F 0.7863 0.1627 0.2549 1
F8 F 0.2137 0.8373 0.7451 1
F9 F 0.4686 0.5922 0.2549 1
F10 F 0.5517 0.8017 0.1034 1
F11 F 0.5314 0.4078 0.7451 1
F12 F 0.7863 0.5922 0.2549 1
Sr1 Sr 0.0000 0.0000 0.5000 1
Sr2 Sr 0.5000 0.0000 0.5000 1
K1 K 0.1589 0.4089 0.3179 1
K2 K 0.8411 0.5911 0.6821 1
Al1 Al 0.5000 0.5000 0.0000 1
Al2 Al 0.5000 0.0000 0.0000 1

# 5
# K2SrAlF6 (PBE-GGA, relaxed)
# **SG**: No. 164
# **E_form (uncorrected)**: -3.1113 eV/atom
data_K2SrAlF6
_space_group_name_H-M_alt 'P 1'
_space_group_IT_number 1
_cell_length_a 6.4588
_cell_length_b 6.0821
_cell_length_c 6.0821
_cell_angle_alpha 120.00
_cell_angle_beta 90.00
_cell_angle_gamma 90.00
loop_
_space_group_symop_operation_xyz
'x,y,z'
loop_
_atom_site_label
_atom_site_type_symbol
_atom_site_fract_x
_atom_site_fract_y
_atom_site_fract_z
_atom_site_occupancy
F1 F 0.8294 0.1393 0.8607 1
F2 F 0.1706 0.8607 0.1393 1
F3 F 0.8294 0.1393 0.2786 1
F4 F 0.8294 0.7214 0.8607 1
F5 F 0.1706 0.8607 0.7214 1
F6 F 0.1706 0.2786 0.1393 1
Al1 Al 0.0000 0.0000 0.0000 1
K1 K 0.8876 0.6667 0.3333 1
K2 K 0.1124 0.3333 0.6667 1
Sr1 Sr 0.5000 0.0000 0.0000 1

# 6
# K2AlTeF (PBE-GGA, relaxed)
# **SG**: No. 123
# **E_form (uncorrected)**: -1.1748 eV/atom
data_K2AlTeF
_space_group_name_H-M_alt 'P 1'
_space_group_IT_number 1
_cell_length_a 5.2632
_cell_length_b 5.0426
_cell_length_c 5.2632
_cell_angle_alpha 90.00
_cell_angle_beta 90.00
_cell_angle_gamma 90.00
loop_
_space_group_symop_operation_xyz
'x,y,z'
loop_
_atom_site_label
_atom_site_type_symbol
_atom_site_fract_x
_atom_site_fract_y
_atom_site_fract_z
_atom_site_occupancy
K1 K 0.0000 0.0000 0.5000 1
K2 K 0.5000 0.0000 0.0000 1
Te1 Te 0.5000 0.5000 0.5000 1
Al1 Al 0.0000 0.5000 0.0000 1
F1 F 0.0000 0.0000 0.0000 1

# 7
# KAl3Tl2F12 (PBE-GGA, relaxed)
# **SG**: No. 166
# **E_form (uncorrected)**: -3.1310 eV/atom
data_KAl3Tl2F12
_space_group_name_H-M_alt 'P 1'
_space_group_IT_number 1
_cell_length_a 7.3922
_cell_length_b 7.3922
_cell_length_c 7.3922
_cell_angle_alpha 57.95
_cell_angle_beta 57.95
_cell_angle_gamma 57.95
loop_
_space_group_symop_operation_xyz
'x,y,z'
loop_
_atom_site_label
_atom_site_type_symbol
_atom_site_fract_x
_atom_site_fract_y
_atom_site_fract_z
_atom_site_occupancy
F1 F 0.7206 0.7206 0.0899 1
F2 F 0.8858 0.4399 0.8858 1
F3 F 0.2794 0.9101 0.2794 1
F4 F 0.1142 0.5601 0.1142 1
F5 F 0.7206 0.0899 0.7206 1
F6 F 0.9101 0.2794 0.2794 1
F7 F 0.8858 0.8858 0.4399 1
F8 F 0.4399 0.8858 0.8858 1
F9 F 0.2794 0.2794 0.9101 1
F10 F 0.5601 0.1142 0.1142 1
F11 F 0.0899 0.7206 0.7206 1
F12 F 0.1142 0.1142 0.5601 1
Al1 Al 0.0000 0.0000 0.5000 1
Al2 Al 0.0000 0.5000 0.0000 1
Al3 Al 0.5000 0.0000 0.0000 1
Tl1 Tl 0.3662 0.3662 0.3662 1
Tl2 Tl 0.6338 0.6338 0.6338 1
K1 K 0.0000 0.0000 0.0000 1

# 8
# KAlTl2F (PBE-GGA, relaxed)
# **SG**: No. 123
# **E_form (uncorrected)**: 0.5499 eV/atom
data_KAlTl2F
_space_group_name_H-M_alt 'P 1'
_space_group_IT_number 1
_cell_length_a 6.5719
_cell_length_b 6.0728
_cell_length_c 6.5719
_cell_angle_alpha 90.00
_cell_angle_beta 90.00
_cell_angle_gamma 90.00
loop_
_space_group_symop_operation_xyz
'x,y,z'
loop_
_atom_site_label
_atom_site_type_symbol
_atom_site_fract_x
_atom_site_fract_y
_atom_site_fract_z
_atom_site_occupancy
F1 F 0.5000 0.5000 0.5000 1
Tl1 Tl 0.0000 0.0000 0.5000 1
Tl2 Tl 0.5000 0.0000 0.0000 1
Al1 Al 0.0000 0.5000 0.0000 1
K1 K 0.0000 0.0000 0.0000 1

# 9
# K2AlTl2F6 (PBE-GGA, relaxed)
# **SG**: No. 12
# **E_form (uncorrected)**: -2.5909 eV/atom
data_K2AlTl2F6
_space_group_name_H-M_alt 'P 1'
_space_group_IT_number 1
_cell_length_a 6.2627
_cell_length_b 6.2627
_cell_length_c 7.1931
_cell_angle_alpha 92.16
_cell_angle_beta 92.16
_cell_angle_gamma 119.97
loop_
_space_group_symop_operation_xyz
'x,y,z'
loop_
_atom_site_label
_atom_site_type_symbol
_atom_site_fract_x
_atom_site_fract_y
_atom_site_fract_z
_atom_site_occupancy
F1 F 0.9879 0.7440 0.3540 1
F2 F 0.7757 0.7757 0.6503 1
F3 F 0.2560 0.0121 0.6460 1
F4 F 0.0121 0.2560 0.6460 1
F5 F 0.7440 0.9879 0.3540 1
F6 F 0.2243 0.2243 0.3497 1
K1 K 0.3370 0.6630 0.5000 1
K2 K 0.6630 0.3370 0.5000 1
Tl1 Tl 0.1496 0.8504 0.0000 1
Tl2 Tl 0.8504 0.1496 0.0000 1
Al1 Al 0.0000 0.0000 0.5000 1

# 10
# KAlTlF6 (PBE-GGA, relaxed)
# **SG**: No. 163
# **E_form (uncorrected)**: -2.7845 eV/atom
data_KAlTlF6
_space_group_name_H-M_alt 'P 1'
_space_group_IT_number 1
_cell_length_a 5.8784
_cell_length_b 5.8784
_cell_length_c 10.2355
_cell_angle_alpha 90.00
_cell_angle_beta 90.00
_cell_angle_gamma 120.00
loop_
_space_group_symop_operation_xyz
'x,y,z'
loop_
_atom_site_label
_atom_site_type_symbol
_atom_site_fract_x
_atom_site_fract_y
_atom_site_fract_z
_atom_site_occupancy
K1 K 0.0000 0.0000 0.0000 1
K2 K 0.0000 0.0000 0.5000 1
F1 F 0.0731 0.6599 0.8530 1
F2 F 0.4132 0.0731 0.1470 1
F3 F 0.9269 0.3401 0.1470 1
F4 F 0.9269 0.5868 0.3530 1
F5 F 0.5868 0.6599 0.6470 1
F6 F 0.3401 0.9269 0.6470 1
F7 F 0.6599 0.0731 0.3530 1
F8 F 0.0731 0.4132 0.6470 1
F9 F 0.6599 0.5868 0.1470 1
F10 F 0.3401 0.4132 0.8530 1
F11 F 0.5868 0.9269 0.8530 1
F12 F 0.4132 0.3401 0.3530 1
Tl1 Tl 0.3333 0.6667 0.2500 1
Tl2 Tl 0.6667 0.3333 0.7500 1
Al1 Al 0.3333 0.6667 0.7500 1
Al2 Al 0.6667 0.3333 0.2500 1

# 11
# KAl2TlF8 (PBE-GGA, relaxed)
# **SG**: No. 148
# **E_form (uncorrected)**: -3.1182 eV/atom
data_KAl2TlF8
_space_group_name_H-M_alt 'P 1'
_space_group_IT_number 1
_cell_length_a 5.8739
_cell_length_b 5.8739
_cell_length_c 8.0416
_cell_angle_alpha 68.58
_cell_angle_beta 68.58
_cell_angle_gamma 60.00
loop_
_space_group_symop_operation_xyz
'x,y,z'
loop_
_atom_site_label
_atom_site_type_symbol
_atom_site_fract_x
_atom_site_fract_y
_atom_site_fract_z
_atom_site_occupancy
F1 F 0.8350 0.8350 0.4951 1
F2 F 0.3109 0.9736 0.1977 1
F3 F 0.5178 0.3109 0.1977 1
F4 F 0.6891 0.0264 0.8023 1
F5 F 0.4822 0.6891 0.8023 1
F6 F 0.9736 0.5178 0.1977 1
F7 F 0.1650 0.1650 0.5049 1
F8 F 0.0264 0.4822 0.8023 1
K1 K 0.0000 0.0000 0.0000 1
Al1 Al 0.7572 0.7572 0.7283 1
Al2 Al 0.2428 0.2428 0.2717 1
Tl1 Tl 0.5000 0.5000 0.5000 1